Record 1
4
Lattice="3.077 0.000 0.000 0.000 4.010 0.000 0.000 0.000 5.614" Properties=species:S:1:pos:R:3 comment="TcMoSe2 | Alexandria via LeMat-Bulk | GGA-PBE | relaxed" e_form_raw_ev_per_atom=0.575 magnetic_moment_mub_per_atom=0.00 polymorph_energy_mev_per_atom=761 pbc="T T T"
Tc 0.000 0.000 0.000
Mo 1.538 0.000 2.807
Se 0.000 2.005 2.807
Se 1.538 2.005 0.000

Record 2
18
Lattice="5.304 0.000 0.000 -2.652 4.593 0.000 0.000 0.000 9.591" Properties=species:S:1:pos:R:3 comment="UAlCdO6 | Alexandria via LeMat-Bulk | GGA-PBE | relaxed" e_form_raw_ev_per_atom=-2.290 magnetic_moment_mub_per_atom=0.00 pbc="T T T"
U 0.000 3.062 2.398
U 2.652 1.531 7.193
Al 0.000 3.062 7.193
Al 2.652 1.531 2.398
Cd 0.000 0.000 0.000
Cd 0.000 0.000 4.795
O -0.871 1.701 6.147
O -1.614 2.989 8.239
O 0.871 1.701 8.239
O -0.744 4.497 6.147
O 1.908 0.096 1.351
O 1.037 1.604 3.444
O 1.614 2.989 6.147
O 0.744 4.497 8.239
O 3.395 0.096 3.444
O 1.781 2.892 1.351
O 4.266 1.604 1.351
O 3.523 2.892 3.444

Record 3
16
Lattice="1.740 -5.645 0.000 1.740 5.645 0.000 0.000 0.000 11.566" Properties=species:S:1:pos:R:3 comment="PuU2RhN4 | Alexandria via LeMat-Bulk | GGA-PBE | relaxed" e_form_raw_ev_per_atom=-1.012 magnetic_moment_mub_per_atom=0.88 pbc="T T T"
Pu 1.740 4.399 8.675
Pu 1.740 -4.399 2.892
U 1.740 1.442 6.480
U 1.740 1.442 10.869
U 1.740 -1.442 0.697
U 1.740 -1.442 5.086
Rh 1.740 3.837 2.892
Rh 1.740 -3.837 8.675
N 0.000 0.000 0.000
N 0.000 0.000 5.783
N 1.740 2.593 1.148
N 1.740 2.593 4.635
N 1.740 0.359 8.675
N 1.740 -0.359 2.892
N 1.740 -2.593 6.931
N 1.740 -2.593 10.418

Record 4
10
Lattice="7.223 0.000 0.000 0.000 7.223 0.000 0.000 0.000 5.155" Properties=species:S:1:pos:R:3 comment="Ca2Mg2Si | Alexandria via LeMat-Bulk | GGA-PBE | relaxed" e_form_raw_ev_per_atom=-0.038 magnetic_moment_mub_per_atom=0.00 pbc="T T T"
Ca 1.279 2.332 0.000
Ca 2.332 5.943 0.000
Ca 4.891 1.279 0.000
Ca 5.943 4.891 0.000
Mg 1.008 4.619 2.578
Mg 2.603 1.008 2.578
Mg 4.619 6.215 2.578
Mg 6.215 2.603 2.578
Si 0.000 0.000 2.578
Si 3.611 3.611 2.578

Record 5
12
Lattice="5.520 0.000 0.000 -2.760 4.780 0.000 0.000 0.000 22.251" Properties=species:S:1:pos:R:3 comment="K2HgTe | Alexandria via LeMat-Bulk | GGA-PBE | relaxed" e_form_raw_ev_per_atom=-0.675 magnetic_moment_mub_per_atom=0.00 polymorph_energy_mev_per_atom=99 pbc="T T T"
K 0.000 0.000 0.000
K 0.000 0.000 4.745
K 0.000 3.187 14.834
K 0.000 3.187 19.579
K 2.760 1.593 7.417
K 2.760 1.593 12.162
Hg 0.000 0.000 10.008
Hg 0.000 3.187 2.591
Hg 2.760 1.593 17.425
Te 0.000 0.000 13.363
Te 0.000 3.187 5.946
Te 2.760 1.593 20.780

Record 6
4
Lattice="2.876 0.000 0.000 0.000 4.359 0.000 -1.075 0.000 8.054" Properties=species:S:1:pos:R:3 comment="KTa2Mo | Alexandria via LeMat-Bulk | GGA-PBE | relaxed" magnetic_moment_mub_per_atom=0.00 formation_energy_ev_per_atom=0.81 polymorph_energy_mev_per_atom=225 pbc="T T T"
K 0.000 0.000 0.000
Ta -0.039 2.179 5.234
Ta 1.840 2.179 2.820
Mo 0.900 0.000 4.027